An optimized crystal structure of Pm4SbP2N, computed with GGA-PBE.

a = 7.4434 Å, b = 7.4434 Å, c = 14.3487 Å
α = 90.00°, β = 90.00°, γ = 148.21°
With the nearest neighbours (Å) after each atom.
Fractional coordinates of all 16 atoms:
Pm: 0.0000 0.0000 0.0000  4 P 2.87
Pm: 0.0000 0.0000 0.5000  4 P 2.87
Pm: 0.2555 0.7445 0.6228  1 N 2.25
Pm: 0.2555 0.7445 0.8772  1 N 2.25
Pm: 0.4222 0.5778 0.2500  2 N 2.38
Pm: 0.5778 0.4222 0.7500  2 N 2.38
Pm: 0.7445 0.2555 0.1228  1 N 2.25
Pm: 0.7445 0.2555 0.3772  1 N 2.25
Sb: 0.1037 0.8963 0.2500  6 Pm 3.30-3.40
Sb: 0.8963 0.1037 0.7500  6 Pm 3.30-3.40
P: 0.3688 0.6312 0.0512  6 Pm 2.87-2.98
P: 0.3688 0.6312 0.4488  6 Pm 2.87-2.98
P: 0.6312 0.3688 0.5512  6 Pm 2.87-2.98
P: 0.6312 0.3688 0.9488  6 Pm 2.87-2.98
N: 0.1634 0.8366 0.7500  4 Pm 2.25-2.38
N: 0.8366 0.1634 0.2500  4 Pm 2.25-2.38

Output
SG = Cmcm, No. 63
Final energy = -6.629 eV per atom
Formation energy without anion corrections = -10.76 eV per formula unit